First-principles (GGA-PBE) data for an optimized crystal structure of NiSn2Sb2Pt7, as listed in Alexandria.

Cell lengths 3.8836, 3.8836, 16.4221 Å; angles 83.17, 83.17, 90.01 degrees
Closest atoms and distances in Å follow each position.
Fractional positions:
Ni  0.0000  0.0000  0.0000  12 Pt 2.75-2.78
Sn  0.6200  0.6200  0.7611  5 Pt 2.66-2.71
Sn  0.3800  0.3800  0.2389  5 Pt 2.66-2.71
Sb  0.7855  0.7855  0.4290  5 Pt 2.72-2.78
Sb  0.2145  0.2145  0.5710  5 Pt 2.72-2.78
Pt  0.5000  0.5000  0.0000  4 Ni 2.75, 8 Pt 2.78
Pt  0.2985  0.2985  0.4032  1 Sn 2.66, 5 Sb 2.72-2.78
Pt  0.7015  0.7015  0.5968  1 Sn 2.66, 5 Sb 2.72-2.78
Pt  0.9383  0.4382  0.1226  2 Sn 2.70-2.71, 6 Pt 2.75-2.78, 2 Ni 2.78
Pt  0.4382  0.9383  0.1226  2 Sn 2.70-2.71, 6 Pt 2.75-2.78, 2 Ni 2.78
Pt  0.5618  0.0617  0.8774  2 Sn 2.70-2.71, 6 Pt 2.75-2.78, 2 Ni 2.78
Pt  0.0617  0.5618  0.8774  2 Sn 2.70-2.71, 6 Pt 2.75-2.78, 2 Ni 2.78

VASP energy (eV/atom): -5.651
Spin magnetization (μB per cell): 0.000
Space group: C2/m
Formation energy (no corrections) (eV/atom): -0.2916